A plane-wave DFT calculation with PBE-GGA was carried out for a relaxed Hf2Zn3Co4 crystal.

Values from the calculation:
N(E_F) in states/eV/f.u.: 7.9
Electronic total energy in eV/f.u.: -53.8
Space group: Cmce (64)
Formation enthalpy at 0 K in eV/atom: -0.18

a = 5.134 Å, b = 6.504 Å, c = 8.022 Å
α = 90.00°, β = 108.66°, γ = 90.00°
Positions (direct):
Hf (0.098, 0.598, 0.196)
Hf (0.902, 0.402, 0.804)
Hf (0.402, 0.098, 0.804)
Hf (0.598, 0.902, 0.196)
Zn (0.000, 0.000, 0.000)
Zn (0.500, 0.500, 0.000)
Zn (0.511, 0.750, 0.522)
Zn (0.989, 0.250, 0.478)
Zn (0.489, 0.250, 0.478)
Zn (0.011, 0.750, 0.522)
Co (0.674, 0.750, 0.847)
Co (0.826, 0.250, 0.153)
Co (0.326, 0.250, 0.153)
Co (0.174, 0.750, 0.847)
Co (0.158, 0.979, 0.316)
Co (0.842, 0.021, 0.684)
Co (0.342, 0.479, 0.684)
Co (0.658, 0.521, 0.316)



A plane-wave DFT calculation with PBE-GGA was carried out for a relaxed HfZnCo crystal.

Values from the calculation:
N(E_F) in states/eV/f.u.: 2.0
Electronic total energy in eV/f.u.: -19.2
Space group: C2/m (12)
Formation enthalpy at 0 K in eV/atom: -0.30

a = 3.324 Å, b = 4.896 Å, c = 7.058 Å
α = 61.66°, β = 89.98°, γ = 70.11°
Positions (direct):
Hf (0.224, 0.842, 0.462)
Hf (0.370, 0.551, 0.134)
Zn (0.960, 0.371, 0.849)
Zn (0.635, 0.022, 0.747)
Co (0.651, 0.989, 0.136)
Co (0.943, 0.405, 0.459)



A plane-wave DFT calculation with PBE-GGA was carried out for a relaxed Hf2ZnCo2 crystal.

Values from the calculation:
N(E_F) in states/eV/f.u.: 5.1
Electronic total energy in eV/f.u.: -37.0
Space group: P4/mbm (127)
Formation enthalpy at 0 K in eV/atom: -0.33

a = 6.876 Å, b = 6.876 Å, c = 3.315 Å
α = 90.00°, β = 90.00°, γ = 90.00°
Positions (direct):
Co (0.370, 0.870, 0.000)
Co (0.870, 0.630, 0.000)
Co (0.630, 0.130, 0.000)
Co (0.130, 0.370, 0.000)
Zn (0.000, 0.000, 0.000)
Zn (0.500, 0.500, 0.000)
Hf (0.170, 0.670, 0.500)
Hf (0.670, 0.830, 0.500)
Hf (0.830, 0.330, 0.500)
Hf (0.330, 0.170, 0.500)



A plane-wave DFT calculation with PBE-GGA was carried out for a relaxed Hf8ZnCo2 crystal.

Values from the calculation:
N(E_F) in states/eV/f.u.: 11.5
Electronic total energy in eV/f.u.: -95.6
Space group: C2/m (12)
Formation enthalpy at 0 K in eV/atom: -0.04

a = 5.040 Å, b = 7.210 Å, c = 7.210 Å
α = 116.85°, β = 99.55°, γ = 99.55°
Positions (direct):
Hf (0.943, 0.909, 0.666)
Hf (0.943, 0.666, 0.909)
Hf (0.315, 0.601, 0.601)
Hf (0.500, 0.754, 0.246)
Hf (0.500, 0.246, 0.754)
Hf (0.685, 0.399, 0.399)
Hf (0.057, 0.334, 0.091)
Hf (0.057, 0.091, 0.334)
Zn (0.500, 0.000, 0.000)
Co (0.000, 0.289, 0.711)
Co (0.000, 0.711, 0.289)



A plane-wave DFT calculation with PBE-GGA was carried out for a relaxed HfZn2Co2 crystal.

Values from the calculation:
N(E_F) in states/eV/f.u.: 5.6
Electronic total energy in eV/f.u.: -27.1
Space group: P4/mbm (127)
Formation enthalpy at 0 K in eV/atom: -0.07
Excess energy over the best structure of this formula in the dataset in eV/atom: 0.0205

a = 7.016 Å, b = 7.016 Å, c = 2.815 Å
α = 90.00°, β = 90.00°, γ = 90.00°
Positions (direct):
Co (0.178, 0.678, 0.500)
Co (0.678, 0.822, 0.500)
Co (0.822, 0.322, 0.500)
Co (0.322, 0.178, 0.500)
Zn (0.379, 0.879, 0.000)
Zn (0.879, 0.621, 0.000)
Zn (0.621, 0.121, 0.000)
Zn (0.121, 0.379, 0.000)
Hf (0.000, 0.000, 0.000)
Hf (0.500, 0.500, 0.000)



A plane-wave DFT calculation with PBE-GGA was carried out for a relaxed Hf2ZnCo2 crystal.

Values from the calculation:
N(E_F) in states/eV/f.u.: 3.3
Electronic total energy in eV/f.u.: -35.6
Space group: I4/mmm (139)
Formation enthalpy at 0 K in eV/atom: -0.05

a = 4.837 Å, b = 4.837 Å, c = 4.975 Å
α = 60.92°, β = 60.92°, γ = 90.00°
Positions (direct):
Co (0.345, 0.345, 0.310)
Co (0.655, 0.655, 0.690)
Zn (0.000, 0.000, 0.000)
Hf (0.750, 0.250, 0.500)
Hf (0.250, 0.750, 0.500)



A plane-wave DFT calculation with PBE-GGA was carried out for a relaxed Hf2ZnCo2 crystal.

Values from the calculation:
N(E_F) in states/eV/f.u.: 4.4
Electronic total energy in eV/f.u.: -35.1
Space group: I4/mmm (139)
Formation enthalpy at 0 K in eV/atom: 0.06

a = 3.550 Å, b = 3.550 Å, c = 7.267 Å
α = 75.86°, β = 75.86°, γ = 90.00°
Positions (direct):
Co (0.750, 0.250, 0.500)
Co (0.250, 0.750, 0.500)
Zn (0.000, 0.000, 0.000)
Hf (0.381, 0.381, 0.238)
Hf (0.619, 0.619, 0.762)



A plane-wave DFT calculation with PBE-GGA was carried out for a relaxed Hf4ZnCo5 crystal.

Values from the calculation:
N(E_F) in states/eV/f.u.: 7.4
Electronic total energy in eV/f.u.: -80.1
Space group: P4/mmm (123)
Formation enthalpy at 0 K in eV/atom: -0.34

a = 3.144 Å, b = 3.144 Å, c = 15.119 Å
α = 90.00°, β = 90.00°, γ = 90.00°
Each line ends with the local moment (μB).
Positions (direct):
Hf (0.000, 0.000, 0.185)  -0.05
Hf (0.000, 0.000, 0.395)  -0.08
Hf (0.000, 0.000, 0.605)  -0.08
Hf (0.000, 0.000, 0.815)  -0.05
Zn (0.000, 0.000, 0.000)  -0.01
Co (0.500, 0.500, 0.090)  0.17
Co (0.500, 0.500, 0.291)  0.48
Co (0.500, 0.500, 0.500)  1.04
Co (0.500, 0.500, 0.709)  0.48
Co (0.500, 0.500, 0.910)  0.17



A plane-wave DFT calculation with PBE-GGA was carried out for a relaxed Hf6ZnCo2 crystal.

Values from the calculation:
N(E_F) in states/eV/f.u.: 8.6
Electronic total energy in eV/f.u.: -77.2
Space group: Immm (71)
Formation enthalpy at 0 K in eV/atom: -0.22

a = 7.654 Å, b = 7.654 Å, c = 7.654 Å
α = 102.29°, β = 112.30°, γ = 114.06°
Positions (direct):
Hf (0.516, 0.702, 0.814)
Hf (0.484, 0.298, 0.186)
Hf (0.113, 0.298, 0.814)
Hf (0.887, 0.702, 0.186)
Hf (0.802, 0.768, 0.570)
Hf (0.198, 0.232, 0.430)
Hf (0.198, 0.768, 0.966)
Hf (0.802, 0.232, 0.034)
Hf (0.695, 0.368, 0.673)
Hf (0.305, 0.632, 0.327)
Hf (0.305, 0.977, 0.673)
Hf (0.695, 0.023, 0.327)
Zn (0.000, 0.500, 0.500)
Zn (0.000, 0.000, 0.000)
Co (0.500, 0.370, 0.870)
Co (0.500, 0.630, 0.130)
Co (0.659, 0.000, 0.659)
Co (0.341, 0.000, 0.341)



A plane-wave DFT calculation with PBE-GGA was carried out for a relaxed HfZnCo2 crystal.

Values from the calculation:
N(E_F) in states/eV/f.u.: 0.6
Electronic total energy in eV/f.u.: -26.8
Space group: Fm-3m (225)
Formation enthalpy at 0 K in eV/atom: -0.33

a = 4.241 Å, b = 4.241 Å, c = 4.241 Å
α = 60.00°, β = 60.00°, γ = 59.99°
Positions (direct):
Co (0.000, 0.000, 0.000)
Co (0.500, 0.500, 0.500)
Zn (0.750, 0.750, 0.750)
Hf (0.250, 0.250, 0.250)